Entry 1:
Y8Er2Th3 after structural relaxation. Source: Alexandria via LeMat-Bulk, functional PBE-GGA. Values from VASP.

Geometry as Quantum ESPRESSO input:
```
&SYSTEM
  ibrav = 0, nat = 13, ntyp = 3
/
ATOMIC_SPECIES
Y 88.91 Y.upf
Er 167.26 Er.upf
Th 232.04 Th.upf
CELL_PARAMETERS angstrom
-2.5529 -0.3591 -4.9738
6.9738 -1.2027 -3.4926
-4.5421 -9.2006 3.0147
ATOMIC_POSITIONS angstrom
Y 3.1170 -3.9921 -1.3172
Y -3.2382 -6.7702 -4.1345
Y -2.8228 -2.8869 -4.6424
Y 2.7017 -7.8755 -0.8093
Y -0.6777 -8.1233 -2.2010
Y -3.5287 -7.6316 -0.7731
Y 3.4076 -3.1308 -4.6786
Y 0.5566 -2.6391 -3.2507
Er -1.7735 -4.8512 -1.8708
Er 1.6524 -5.9111 -3.5809
Th -1.2764 -0.1796 -2.4869
Th 2.0735 -0.3576 -1.0384
Th 4.9003 -0.8451 -2.4541
```

Computed properties:
space group = No. 12
VASP energy = -6.114 eV/atom
energy of formation from the pure elements = 277.9 meV/atom
calculated volume = 33.8 Å³/atom
distance to the lowest polymorph of the same formula = 11.3 kJ per mole of atoms

Entry 2:
LiMgAl6 after structural relaxation. Source: Alexandria via LeMat-Bulk, functional PBE-GGA. Values from VASP.

Geometry as Quantum ESPRESSO input:
```
&SYSTEM
  ibrav = 0, nat = 8, ntyp = 3
/
ATOMIC_SPECIES
Li 6.94 Li.upf
Mg 24.30 Mg.upf
Al 26.98 Al.upf
CELL_PARAMETERS angstrom
-1.8361 -2.7701 3.4215
4.7928 0.6895 3.1302
-4.3979 3.6773 0.6171
ATOMIC_POSITIONS angstrom
Li -3.6311 3.4280 0.8268
Mg -1.4877 1.0478 3.3746
Al -1.4518 1.5710 0.4928
Al -1.2500 3.8025 2.4078
Al 0.9957 1.9239 2.0919
Al 0.7089 -0.7935 3.0627
Al 0.9070 1.3964 4.9420
Al 3.1138 -0.4481 4.6329
```

Computed properties:
space group = No. 187
VASP energy = -3.269 eV/atom
energy of formation from the pure elements = -23.4 meV/atom
calculated volume = 17.2 Å³/atom

Entry 3:
Tb2DyTmAs4 after structural relaxation. Source: Alexandria via LeMat-Bulk, functional PBE-GGA. Values from VASP.

Geometry as Quantum ESPRESSO input:
```
&SYSTEM
  ibrav = 0, nat = 8, ntyp = 4
/
ATOMIC_SPECIES
Tb 158.93 Tb.upf
Dy 162.50 Dy.upf
Tm 168.93 Tm.upf
As 74.92 As.upf
CELL_PARAMETERS angstrom
4.1165 0.0000 0.0000
0.0000 7.1244 -0.1409
0.0000 2.5070 6.6707
ATOMIC_POSITIONS angstrom
Tb 0.0000 2.5070 6.6707
Tb 2.0582 1.2535 3.3353
Dy 0.0000 4.8157 3.2650
Tm 2.0583 6.0692 6.6003
As 0.0001 7.2044 4.9168
As 4.1165 2.4270 1.6130
As 2.0583 5.9510 1.5572
As 2.0583 3.6804 4.9726
```

Computed properties:
space group = No. 10
VASP energy = -6.147 eV/atom
energy of formation from the pure elements = -1530.5 meV/atom
calculated volume = 24.6 Å³/atom